(1)
! MgMn2Se (PBE, optimized geometry); values from VASP
&SYSTEM
  ibrav = 0, nat = 4, ntyp = 3
/
ATOMIC_SPECIES
Mg 24.30 Mg.upf
Mn 54.94 Mn.upf
Se 78.96 Se.upf
ATOMIC_POSITIONS angstrom
Mg 0.000 0.000 0.000
Mn 0.630 2.318 1.298
Mn 0.630 -2.318 1.298
Se 2.824 0.000 0.000
CELL_PARAMETERS angstrom
2.824 -4.636 0.000
2.824 4.636 0.000
-1.563 0.000 2.595
! DFT total energy = -22.49 eV/cell
! Density = 5.2 g/cm3
! Total magnetization = 1.76 μB/atom
! Formation energy (no corrections) = 23 kJ/mol of atoms
! Polymorph energy (0 for the lowest one) = 0.213 eV per atom

(2)
! KHgOs2 (PBE, optimized geometry); values from VASP
&SYSTEM
  ibrav = 0, nat = 4, ntyp = 3
/
ATOMIC_SPECIES
K 39.10 K.upf
Hg 200.59 Hg.upf
Os 190.23 Os.upf
ATOMIC_POSITIONS angstrom
K 0.000 0.000 0.000
Hg 1.371 2.499 0.000
Os 0.000 2.499 2.769
Os 1.371 0.000 2.769
CELL_PARAMETERS angstrom
2.741 0.000 0.000
0.000 4.998 0.000
0.000 0.000 5.538
! DFT total energy = -18.72 eV/cell
! Density = 13.6 g/cm3
! E_form = 1.285 eV/atom
! Total magnetization = 0.09 μB/atom

(3)
! CuRh3 (PBE, optimized geometry); values from VASP
&SYSTEM
  ibrav = 0, nat = 4, ntyp = 2
/
ATOMIC_SPECIES
Cu 63.55 Cu.upf
Rh 102.91 Rh.upf
ATOMIC_POSITIONS angstrom
Cu 0.000 0.000 0.000
Rh 0.000 0.000 4.375
Rh 0.000 1.561 2.153
Rh 0.000 1.561 6.597
CELL_PARAMETERS angstrom
2.704 0.000 0.000
-1.352 2.342 0.000
0.000 0.000 8.751
! DFT total energy = -25.90 eV/cell
! Density = 11.2 g/cm3
! E_form = 0.064 eV/atom
! Total magnetization = 0.00 μB/atom

(4)
! Y2CrPt2 (PBE, optimized geometry); values from VASP
&SYSTEM
  ibrav = 0, nat = 10, ntyp = 3
/
ATOMIC_SPECIES
Y 88.91 Y.upf
Cr 52.00 Cr.upf
Pt 195.08 Pt.upf
ATOMIC_POSITIONS angstrom
Y 1.170 2.189 0.000
Y 2.189 5.547 0.000
Y 4.529 1.170 0.000
Y 5.547 4.529 0.000
Cr 0.000 0.000 2.265
Cr 3.359 3.359 2.265
Pt 0.961 4.320 2.265
Pt 2.397 0.961 2.265
Pt 4.320 5.756 2.265
Pt 5.756 2.397 2.265
CELL_PARAMETERS angstrom
6.717 0.000 0.000
0.000 6.717 0.000
0.000 0.000 4.530
! DFT total energy = -74.63 eV/cell
! Density = 10.1 g/cm3
! E_form = -0.537 eV/atom
! Total magnetization = 0.00 μB/atom

(5)
! Ho7ErTh2 (PBE, optimized geometry); values from VASP
&SYSTEM
  ibrav = 0, nat = 10, ntyp = 3
/
ATOMIC_SPECIES
Ho 164.93 Ho.upf
Er 167.26 Er.upf
Th 232.04 Th.upf
ATOMIC_POSITIONS angstrom
Ho 0.000 0.000 0.000
Ho 2.809 1.813 0.000
Ho 4.330 3.414 2.730
Ho 2.809 -1.813 0.000
Ho 5.851 1.813 0.000
Ho 4.330 -3.414 2.730
Ho 5.851 -1.813 0.000
Er 4.330 0.000 2.730
Th 4.330 4.905 0.000
Th 4.330 -4.905 0.000
CELL_PARAMETERS angstrom
4.330 -8.317 0.000
4.330 8.317 0.000
0.000 0.000 5.460
! DFT total energy = -43.68 eV/cell
! Density = 7.5 g/cm3
! E_form = 0.777 eV/atom
! Total magnetization = 0.00 μB/atom
! Polymorph energy (0 for the lowest one) = 0.308 eV per atom

(6)
! CsCaRe2O8 (PBE, optimized geometry); values from VASP
&SYSTEM
  ibrav = 0, nat = 12, ntyp = 4
/
ATOMIC_SPECIES
Cs 132.91 Cs.upf
Ca 40.08 Ca.upf
Re 186.21 Re.upf
O 16.00 O.upf
ATOMIC_POSITIONS angstrom
Cs 0.000 0.000 0.000
Ca 0.000 0.000 4.202
Re 0.000 3.531 6.213
Re 3.058 1.766 2.191
O -0.008 1.845 5.639
O -1.456 4.381 5.639
O 0.000 3.531 7.976
O 1.594 0.929 2.766
O 1.464 4.368 5.639
O 3.058 1.766 0.429
O 4.514 0.916 2.766
O 3.066 3.452 2.766
CELL_PARAMETERS angstrom
6.116 0.000 0.000
-3.058 5.297 0.000
0.000 0.000 8.405
! DFT total energy = -91.35 eV/cell
! Density = 4.1 g/cm3
! Total magnetization = 0.09 μB/atom
! Formation energy (no corrections) = -192 kJ/mol of atoms

(7)
! TlCu3Au (PBE, optimized geometry); values from VASP
&SYSTEM
  ibrav = 0, nat = 5, ntyp = 3
/
ATOMIC_SPECIES
Tl 204.38 Tl.upf
Cu 63.55 Cu.upf
Au 196.97 Au.upf
ATOMIC_POSITIONS angstrom
Tl 0.000 0.000 0.000
Cu 0.000 2.425 2.425
Cu 2.425 0.000 2.425
Cu 2.425 2.425 0.000
Au 2.425 2.425 2.425
CELL_PARAMETERS angstrom
4.850 0.000 0.000
0.000 4.850 0.000
0.000 0.000 4.850
! DFT total energy = -15.01 eV/cell
! Density = 8.6 g/cm3
! E_form = 0.585 eV/atom
! Total magnetization = 0.00 μB/atom
! Polymorph energy (0 for the lowest one) = 0.000 eV per atom

(8)
! AcSnBiTe (PBE, optimized geometry); values from VASP
&SYSTEM
  ibrav = 0, nat = 8, ntyp = 4
/
ATOMIC_SPECIES
Ac 227.00 Ac.upf
Sn 118.71 Sn.upf
Bi 208.98 Bi.upf
Te 127.60 Te.upf
ATOMIC_POSITIONS angstrom
Ac 1.416 1.416 1.708
Ac 4.247 4.247 7.003
Sn 1.416 4.247 4.356
Sn 4.247 1.416 4.356
Bi 1.416 1.416 5.770
Bi 4.247 4.247 2.941
Te 1.416 4.247 0.000
Te 4.247 1.416 0.000
CELL_PARAMETERS angstrom
5.663 0.000 0.000
0.000 5.663 0.000
0.000 0.000 8.711
! DFT total energy = -35.89 eV/cell
! Density = 8.1 g/cm3
! Total magnetization = 0.00 μB/atom
! Formation energy (no corrections) = -68 kJ/mol of atoms